PuZrNbN3: optimized geometry, GGA-PBE.

It has space group P2_1/m (No. 11), with a = 6.8709 Å, b = 3.1972 Å, c = 8.1192 Å, α = 90.00°, β = 91.62° and γ = 90.00°. The inequivalent atoms are Pu at (0.1322, 0.2500, 0.1699), Zr at (0.3775, 0.7500, 0.8612), Nb at (0.1525, 0.2500, 0.5733), N at (0.1425, 0.2500, 0.8575), N at (0.1565, 0.7500, 0.4050) and N at (0.3934, 0.7500, 0.1258).

For the uncorrected formation energy, the calculation gives -1081.6 meV/atom.